Compound: Tl3AsS3
Source: the Alexandria database
Functional: PBE
Structure: relaxed

## Properties
- distance to the lowest polymorph of the same formula (meV/atom) = 0
- symmetry = Pbca
- E_tot (eV per atom) = -3.7681

Unit cell a=5.775 b=12.814 c=22.231 alpha=90.00 beta=90.00 gamma=90.00
Fractional positions:
1 Tl 0.932 0.337 0.521
2 Tl 0.432 0.163 0.479
3 Tl 0.455 0.576 0.192
4 Tl 0.045 0.424 0.692
5 Tl 0.582 0.289 0.184
6 Tl 0.455 0.924 0.692
7 Tl 0.932 0.163 0.021
8 Tl 0.955 0.576 0.308
9 Tl 0.918 0.789 0.184
10 Tl 0.545 0.076 0.308
11 Tl 0.568 0.663 0.021
12 Tl 0.082 0.211 0.816
13 Tl 0.545 0.424 0.808
14 Tl 0.082 0.289 0.316
15 Tl 0.418 0.711 0.816
16 Tl 0.068 0.837 0.979
17 Tl 0.068 0.663 0.479
18 Tl 0.955 0.924 0.808
19 Tl 0.918 0.711 0.684
20 Tl 0.045 0.076 0.192
21 Tl 0.418 0.789 0.316
22 Tl 0.582 0.211 0.684
23 Tl 0.568 0.837 0.521
24 Tl 0.432 0.337 0.979
25 As 0.956 0.959 0.412
26 As 0.044 0.041 0.588
27 As 0.544 0.459 0.412
28 As 0.456 0.541 0.588
29 As 0.956 0.541 0.912
30 As 0.456 0.959 0.088
31 As 0.044 0.459 0.088
32 As 0.544 0.041 0.912
33 S 0.148 0.047 0.914
34 S 0.352 0.953 0.414
35 S 0.888 0.906 0.316
36 S 0.613 0.867 0.908
37 S 0.388 0.906 0.184
38 S 0.612 0.094 0.816
39 S 0.887 0.367 0.908
40 S 0.388 0.594 0.684
41 S 0.387 0.367 0.592
42 S 0.148 0.453 0.414
43 S 0.612 0.406 0.316
44 S 0.113 0.633 0.092
45 S 0.613 0.633 0.408
46 S 0.888 0.594 0.816
47 S 0.112 0.406 0.184
48 S 0.112 0.094 0.684
49 S 0.887 0.133 0.408
50 S 0.387 0.133 0.092
51 S 0.352 0.547 0.914
52 S 0.852 0.953 0.086
53 S 0.648 0.047 0.586
54 S 0.113 0.867 0.592
55 S 0.852 0.547 0.586
56 S 0.648 0.453 0.086


Compound: Tl2AsS
Source: the Alexandria database
Functional: PBE
Structure: relaxed

## Properties
- distance to the lowest polymorph of the same formula (meV/atom) = 0
- symmetry = I-42d
- E_tot (eV per atom) = -3.3643

Unit cell a=6.367 b=6.367 c=7.935 alpha=66.35 beta=66.35 gamma=90.00
Fractional positions:
1 S 0.500 0.500 0.000
2 S 0.250 0.750 0.500
3 As 0.750 0.250 0.500
4 As 0.000 0.000 0.000
5 Tl 0.626 0.125 0.250
6 Tl 0.375 0.374 0.750
7 Tl 0.124 0.625 0.250
8 Tl 0.875 0.876 0.750


Compound: TlAsS
Source: the Alexandria database
Functional: PBE
Structure: relaxed

## Properties
- distance to the lowest polymorph of the same formula (meV/atom) = 280
- symmetry = Cm
- E_tot (eV per atom) = -3.6507

Unit cell a=5.340 b=4.518 c=8.727 alpha=90.00 beta=113.78 gamma=90.00
Fractional positions:
1 S 0.067 0.500 0.855
2 S 0.067 0.000 0.355
3 Tl 0.461 0.000 0.929
4 Tl 0.461 0.500 0.429
5 As 0.625 0.000 0.282
6 As 0.625 0.500 0.782


Compound: TlAs2S4
Source: the Alexandria database
Functional: PBE
Structure: relaxed

## Properties
- distance to the lowest polymorph of the same formula (meV/atom) = 0
- symmetry = P1
- E_tot (eV per atom) = -4.0824

Unit cell a=9.534 b=9.532 c=6.688 alpha=108.24 beta=108.32 gamma=124.02
Fractional positions:
1 S 0.436 0.081 0.377
2 S 0.331 0.185 0.878
3 S 0.850 0.529 0.115
4 S 0.779 0.600 0.615
5 S 0.828 0.012 0.610
6 S 0.550 0.691 0.876
7 S 0.263 0.577 0.111
8 S 0.939 0.300 0.376
9 Tl 0.307 0.808 0.602
10 Tl 0.057 0.057 0.103
11 As 0.642 0.326 0.217
12 As 0.129 0.315 0.703
13 As 0.576 0.391 0.716
14 As 0.565 0.879 0.203


Question: The highest distance to the lowest polymorph of the same formula belongs to which entry?
Answer: TlAsS


Question: What is the distance to the lowest polymorph of the same formula in the first record?
Answer: 0 meV/atom


Question: Which value of distance to the lowest polymorph of the same formula does entry 1 give?
Answer: 0 meV/atom


Question: Look up the distance to the lowest polymorph of the same formula of the first one.
Answer: 0 meV/atom